KNbTl2 GGA-PBE optimized geometry; D(E_F) = 2.0 states/eV/f.u.; symmetry = No. 225; magnetization = 2.2 μB/f.u.; E above lowest polymorph = 0.0 meV/atom; E_tot = -3.31 eV per atom; calculated volume = 26.88 Å³/atom; energy relative to the elements = 0.661 eV/atom
1.0
2.654 -4.578 -0.694
2.553 -2.254 4.109
-1.864 -4.517 2.146
K Tl Nb
1 2 1
Direct
0.000 0.000 0.000
0.250 0.250 0.250
0.750 0.750 0.750
0.500 0.500 0.500